Pm3Er2Pb2 after structural relaxation. Source: Alexandria via LeMat-Bulk, functional GGA-PBE.

a b c (Å): 3.5488 7.8768 8.9843
angles (deg): 114.42 101.39 90.00
Closest atoms and distances in Å follow each position.
Positions (direct):
Pm 0.7770 0.3123 0.5541  3 Pb 3.44-3.50, 3 Er 3.54-3.58, 3 Pm 3.55-3.57
Pb 0.3924 0.1181 0.7847  2 Er 3.19, 5 Pm 3.31-3.50, 2 Pb 3.55
Er 0.0878 0.1970 0.1756  2 Pb 3.19, 3 Er 3.33-3.55, 3 Pm 3.35-3.54
Pm 0.0000 0.5000 0.0000  4 Pb 3.31, 2 Er 3.35, 4 Pm 3.55-3.57
Er 0.9122 0.8030 0.8244  2 Pb 3.19, 3 Er 3.33-3.55, 3 Pm 3.35-3.54
Pb 0.6076 0.8819 0.2153  2 Er 3.19, 5 Pm 3.31-3.50, 2 Pb 3.55
Pm 0.2230 0.6877 0.4459  3 Pb 3.44-3.50, 3 Er 3.54-3.58, 3 Pm 3.55-3.57

Output
Its formation energy is -169.4 meV/atom. The space group is C2/m, No. 12. As for the calculated volume: 31.891 Å³ per atom.